Record 1
The following is a PBE calculation of an optimized crystal structure of TlZn2Rh2, from Alexandria via LeMat-Bulk.

Computed properties:
Raw total energy (eV/cell): -39.3
Energy above the lowest structure with this stoichiometry (kJ/mol of atoms): 14.99

a b c (Å): 3.759 3.759 12.205
angles (deg): 90.00 90.00 90.00
Space group I4/mmm (No. 139)
Inequivalent atoms, fractional coordinates:
Tl 0.000 0.000 0.000 [2 per cell]
Zn 0.000 0.500 0.250 [4 per cell]
Rh 0.000 0.000 0.392 [4 per cell]

---

Record 2
The following is a PBE calculation of an optimized crystal structure of Na3Cd2Pd3, from Alexandria via LeMat-Bulk.

Computed properties:
Raw total energy (eV/cell): -23.4

a b c (Å): 7.9011 7.9011 2.9792
angles (deg): 90.00 90.00 120.00
Space group P-62m (No. 189)
Inequivalent atoms, fractional coordinates:
Na 0.0000 0.2458 0.0000 [3 per cell]
Cd 0.3333 0.6667 0.0000 [2 per cell]
Pd 0.0000 0.6021 0.5000 [3 per cell]